Ti3Ni3Rh | PBE | optimized geometry

Properties
Symmetry   No. 176
E_tot   -7.37 eV per atom
Energy relative to the elements   -309 kJ/mol of formula units

abc: 7.1331 7.1331 4.3268
angles: 90.00 90.00 120.00
Atoms (fractional coordinates):
1 Ti 0.0914 0.4341 0.2500
2 Ti 0.3427 0.9086 0.2500
3 Ti 0.4341 0.3427 0.7500
4 Ti 0.5659 0.6573 0.2500
5 Ti 0.6573 0.0914 0.7500
6 Ti 0.9086 0.5659 0.7500
7 Ni 0.0442 0.2232 0.7500
8 Ni 0.1790 0.9558 0.7500
9 Ni 0.2232 0.1790 0.2500
10 Ni 0.7768 0.8210 0.7500
11 Ni 0.8210 0.0442 0.2500
12 Ni 0.9558 0.7768 0.2500
13 Rh 0.3333 0.6667 0.7500
14 Rh 0.6667 0.3333 0.2500

=====

NaCa4Pb2 | PBE | optimized geometry

Properties
Symmetry   No. 166
E_tot   -2.82 eV per atom
Energy relative to the elements   -290 kJ/mol of formula units

abc: 9.4108 9.4108 9.4108
angles: 33.92 33.92 33.92
Atoms (fractional coordinates):
1 Na 0.0000 0.0000 0.0000
2 Ca 0.1303 0.1303 0.1303
3 Ca 0.3828 0.3828 0.3828
4 Ca 0.6172 0.6172 0.6172
5 Ca 0.8697 0.8697 0.8697
6 Pb 0.2539 0.2539 0.2539
7 Pb 0.7461 0.7461 0.7461